A crystal of NiAg2GeOs relaxed with PBEsol. Source: Alexandria, functional SCAN.

Summary:
SG: P4/mmm, No. 123
M_tot in μB per atom: 0.000
Energy of formation in eV per atom: 1.581

a b c (Å): 4.356 4.983 4.983
angles (deg): 90.00 90.00 90.00
Element x y z (fractional)
Ni1 0.500 0.000 0.000
Ge1 0.500 0.500 0.500
Os1 0.000 0.000 0.000
Ag1 0.000 0.500 0.000
Ag2 0.000 0.000 0.500

A crystal of Ni2AgGeTe relaxed with PBEsol. Source: Alexandria, functional SCAN.

Summary:
SG: P4/mmm, No. 123
M_tot in μB per atom: 0.366
Formation energy (no corrections) in eV per formula unit: 6.01

a b c (Å): 4.632 4.632 5.053
angles (deg): 90.00 90.00 90.00
Last column: magnetic moment on the atom in μB.
Element x y z (fractional)
Ag1 0.000 0.000 0.000  -0.02
Te1 0.000 0.000 0.500  0.03
Ni1 0.500 0.000 0.000  0.93
Ge1 0.500 0.500 0.500  -0.03
Ni2 0.000 0.500 0.000  0.93

A crystal of Ag2GeO3 relaxed with PBEsol. Source: Alexandria, functional SCAN.

Summary:
SG: P2_12_12_1, No. 19
M_tot in μB per atom: 0.000
Formation energy (no corrections) in eV per formula unit: -5.77

a b c (Å): 4.668 6.830 10.513
angles (deg): 90.00 90.00 90.00
Element x y z (fractional)
Ge1 0.484 0.629 0.935
Ag1 0.018 0.893 0.728
O1 0.773 0.167 0.440
O2 0.342 0.907 0.541
Ge2 0.984 0.871 0.065
O3 0.691 0.139 0.713
O4 0.273 0.333 0.560
Ag2 0.595 0.627 0.626
Ag3 0.095 0.873 0.374
Ag4 0.905 0.373 0.126
Ag5 0.405 0.127 0.874
O5 0.191 0.361 0.287
O6 0.309 0.639 0.787
Ag6 0.482 0.107 0.228
Ge3 0.016 0.371 0.435
Ag7 0.982 0.393 0.772
O7 0.227 0.667 0.060
Ag8 0.518 0.607 0.272
Ge4 0.516 0.129 0.565
O8 0.727 0.833 0.940
O9 0.842 0.593 0.459
O10 0.658 0.407 0.959
O11 0.158 0.093 0.041
O12 0.809 0.861 0.213

> M_tot of number 2 (Ni2AgGeTe)?

0.366 μB per atom

Copy entry 1 word for word.
A crystal of NiAg2GeOs relaxed with PBEsol. Source: Alexandria, functional SCAN.

Summary:
SG: P4/mmm, No. 123
M_tot in μB per atom: 0.000
Energy of formation in eV per atom: 1.581

a b c (Å): 4.356 4.983 4.983
angles (deg): 90.00 90.00 90.00
Element x y z (fractional)
Ni1 0.500 0.000 0.000
Ge1 0.500 0.500 0.500
Os1 0.000 0.000 0.000
Ag1 0.000 0.500 0.000
Ag2 0.000 0.000 0.500

> M_tot of number 3 (Ag2GeO3)?

0.000 μB per atom